Record 1
The following is a DFT calculation (GGA-PBE) of a relaxed structure of PmZn5Ni7.

Computed properties:
For the density of states at the Fermi level, the calculation gives 8.6 states/eV/cell. The value obtained for the energy of formation from the pure elements is -0.196 eV/atom. The value obtained for the total moment is 0.000 μB per atom. The total energy is -4.16 eV per atom.

```
data_PmZn5Ni7
_cell_length_a 4.9447
_cell_length_b 6.4487
_cell_length_c 6.4487
_cell_angle_alpha 82.02
_cell_angle_beta 67.46
_cell_angle_gamma 67.46
_symmetry_space_group_name_H-M 'P 1'
_symmetry_Int_Tables_number 1
_symmetry_space_group_name_Hall 'P 1'
loop_
_atom_site_label
_atom_site_fract_x
_atom_site_fract_y
_atom_site_fract_z
Pm1 0.9933 0.0067 0.0067
Zn1 0.4989 0.0035 0.4951
Zn2 0.0024 0.0035 0.4951
Zn3 0.4989 0.4951 0.0035
Zn4 0.0024 0.4951 0.0035
Zn5 0.7238 0.7762 0.7762
Ni1 0.6431 0.3569 0.3569
Ni2 0.3574 0.6426 0.6426
Ni3 0.0024 0.3544 0.6407
Ni4 0.0024 0.6407 0.3544
Ni5 0.2723 0.2277 0.2277
Ni6 0.5012 0.7682 0.2293
Ni7 0.5012 0.2293 0.7682
```

---

Record 2
The following is a DFT calculation (GGA-PBE) of a relaxed structure of PmZn4Ni.

Computed properties:
For the density of states at the Fermi level, the calculation gives 7.3 states/eV/cell. The value obtained for the energy of formation from the pure elements is -0.306 eV/atom. The energy above the most stable polymorph in this dataset is 0 meV per atom. The value obtained for the total moment is 0.000 μB per atom. The total energy is -2.91 eV per atom.

```
data_PmZn4Ni
_cell_length_a 3.9869
_cell_length_b 6.7826
_cell_length_c 7.6951
_cell_angle_alpha 90.00
_cell_angle_beta 90.00
_cell_angle_gamma 90.00
_symmetry_space_group_name_H-M 'P 1'
_symmetry_Int_Tables_number 1
_symmetry_space_group_name_Hall 'P 1'
loop_
_atom_site_label
_atom_site_fract_x
_atom_site_fract_y
_atom_site_fract_z
Pm1 0.0000 0.6086 0.7500
Pm2 0.0000 0.3914 0.2500
Zn1 0.0000 0.0000 0.5000
Zn2 0.0000 0.0000 0.0000
Zn3 0.5000 0.9581 0.7500
Zn4 0.5000 0.0419 0.2500
Zn5 0.5000 0.7023 0.0579
Zn6 0.5000 0.2977 0.9421
Zn7 0.5000 0.7023 0.4421
Zn8 0.5000 0.2977 0.5579
Ni1 0.0000 0.2060 0.7500
Ni2 0.0000 0.7940 0.2500
```

---

Q: Among the records above, which one has the highest energy of formation from the pure elements?
A: PmZn5Ni7

---

Repeat the first record exactly.
The following is a DFT calculation (GGA-PBE) of a relaxed structure of PmZn5Ni7.

Computed properties:
For the density of states at the Fermi level, the calculation gives 8.6 states/eV/cell. The value obtained for the energy of formation from the pure elements is -0.196 eV/atom. The value obtained for the total moment is 0.000 μB per atom. The total energy is -4.16 eV per atom.

```
data_PmZn5Ni7
_cell_length_a 4.9447
_cell_length_b 6.4487
_cell_length_c 6.4487
_cell_angle_alpha 82.02
_cell_angle_beta 67.46
_cell_angle_gamma 67.46
_symmetry_space_group_name_H-M 'P 1'
_symmetry_Int_Tables_number 1
_symmetry_space_group_name_Hall 'P 1'
loop_
_atom_site_label
_atom_site_fract_x
_atom_site_fract_y
_atom_site_fract_z
Pm1 0.9933 0.0067 0.0067
Zn1 0.4989 0.0035 0.4951
Zn2 0.0024 0.0035 0.4951
Zn3 0.4989 0.4951 0.0035
Zn4 0.0024 0.4951 0.0035
Zn5 0.7238 0.7762 0.7762
Ni1 0.6431 0.3569 0.3569
Ni2 0.3574 0.6426 0.6426
Ni3 0.0024 0.3544 0.6407
Ni4 0.0024 0.6407 0.3544
Ni5 0.2723 0.2277 0.2277
Ni6 0.5012 0.7682 0.2293
Ni7 0.5012 0.2293 0.7682
```

---

Please write out number 1 again, unchanged.
The following is a DFT calculation (GGA-PBE) of a relaxed structure of PmZn5Ni7.

Computed properties:
For the density of states at the Fermi level, the calculation gives 8.6 states/eV/cell. The value obtained for the energy of formation from the pure elements is -0.196 eV/atom. The value obtained for the total moment is 0.000 μB per atom. The total energy is -4.16 eV per atom.

```
data_PmZn5Ni7
_cell_length_a 4.9447
_cell_length_b 6.4487
_cell_length_c 6.4487
_cell_angle_alpha 82.02
_cell_angle_beta 67.46
_cell_angle_gamma 67.46
_symmetry_space_group_name_H-M 'P 1'
_symmetry_Int_Tables_number 1
_symmetry_space_group_name_Hall 'P 1'
loop_
_atom_site_label
_atom_site_fract_x
_atom_site_fract_y
_atom_site_fract_z
Pm1 0.9933 0.0067 0.0067
Zn1 0.4989 0.0035 0.4951
Zn2 0.0024 0.0035 0.4951
Zn3 0.4989 0.4951 0.0035
Zn4 0.0024 0.4951 0.0035
Zn5 0.7238 0.7762 0.7762
Ni1 0.6431 0.3569 0.3569
Ni2 0.3574 0.6426 0.6426
Ni3 0.0024 0.3544 0.6407
Ni4 0.0024 0.6407 0.3544
Ni5 0.2723 0.2277 0.2277
Ni6 0.5012 0.7682 0.2293
Ni7 0.5012 0.2293 0.7682
```